No. 1
Entry from Alexandria: a relaxed PrNd10Y6 crystal (GGA-PBE).

```
data_PrNd10Y6
_symmetry_space_group_name_H-M 'P 1'
_symmetry_Int_Tables_number 1
_cell_length_a 9.925
_cell_length_b 9.925
_cell_length_c 6.961
_cell_angle_alpha 90.00
_cell_angle_beta 90.00
_cell_angle_gamma 120.00
loop_
_symmetry_equiv_pos_as_xyz
'x,y,z'
loop_
_atom_site_label
_atom_site_type_symbol
_atom_site_fract_x
_atom_site_fract_y
_atom_site_fract_z
_atom_site_occupancy
Pr1 Pr 0.000 0.000 0.000 1
Nd1 Nd 0.000 0.277 0.679 1
Nd2 Nd 0.000 0.723 0.321 1
Nd3 Nd 0.277 0.000 0.679 1
Nd4 Nd 0.277 0.277 0.321 1
Nd5 Nd 0.333 0.667 0.000 1
Nd6 Nd 0.333 0.667 0.500 1
Nd7 Nd 0.667 0.333 0.000 1
Nd8 Nd 0.667 0.333 0.500 1
Nd9 Nd 0.723 0.000 0.321 1
Nd10 Nd 0.723 0.723 0.679 1
Y1 Y 0.000 0.369 0.188 1
Y2 Y 0.000 0.631 0.812 1
Y3 Y 0.369 0.000 0.188 1
Y4 Y 0.369 0.369 0.812 1
Y5 Y 0.631 0.000 0.812 1
Y6 Y 0.631 0.631 0.188 1
```

total energy: -5.233 eV/atom
symmetry: P-31m (162)
calculated volume: 593.7 Å³/cell

No. 2
Entry from Alexandria: a relaxed Li2Tl2Bi crystal (GGA-PBE).

```
data_Li2Tl2Bi
_symmetry_space_group_name_H-M 'P 1'
_symmetry_Int_Tables_number 1
_cell_length_a 4.378
_cell_length_b 4.378
_cell_length_c 13.239
_cell_angle_alpha 90.00
_cell_angle_beta 90.00
_cell_angle_gamma 90.00
loop_
_symmetry_equiv_pos_as_xyz
'x,y,z'
loop_
_atom_site_label
_atom_site_type_symbol
_atom_site_fract_x
_atom_site_fract_y
_atom_site_fract_z
_atom_site_occupancy
Li1 Li 0.000 0.000 0.095 1
Li2 Li 0.000 0.000 0.905 1
Li3 Li 0.500 0.500 0.405 1
Li4 Li 0.500 0.500 0.595 1
Tl1 Tl 0.000 0.500 0.250 1
Tl2 Tl 0.000 0.500 0.750 1
Tl3 Tl 0.500 0.000 0.250 1
Tl4 Tl 0.500 0.000 0.750 1
Bi1 Bi 0.000 0.000 0.500 1
Bi2 Bi 0.500 0.500 0.000 1
```

total energy: -2.557 eV/atom
energy above the lowest structure with this stoichiometry: 0.142 eV per atom
symmetry: I4/mmm (139)
calculated volume: 253.7 Å³/cell

No. 3
Entry from Alexandria: a relaxed ZrTa2Ru crystal (GGA-PBE).

```
data_ZrTa2Ru
_symmetry_space_group_name_H-M 'P 1'
_symmetry_Int_Tables_number 1
_cell_length_a 7.538
_cell_length_b 7.538
_cell_length_c 5.542
_cell_angle_alpha 90.00
_cell_angle_beta 90.00
_cell_angle_gamma 90.00
loop_
_symmetry_equiv_pos_as_xyz
'x,y,z'
loop_
_atom_site_label
_atom_site_type_symbol
_atom_site_fract_x
_atom_site_fract_y
_atom_site_fract_z
_atom_site_occupancy
Zr1 Zr 0.000 0.000 0.000 1
Zr2 Zr 0.000 0.500 0.250 1
Zr3 Zr 0.500 0.000 0.750 1
Zr4 Zr 0.500 0.500 0.500 1
Ta1 Ta 0.208 0.250 0.625 1
Ta2 Ta 0.250 0.708 0.875 1
Ta3 Ta 0.250 0.792 0.375 1
Ta4 Ta 0.292 0.250 0.125 1
Ta5 Ta 0.708 0.750 0.125 1
Ta6 Ta 0.750 0.208 0.375 1
Ta7 Ta 0.750 0.292 0.875 1
Ta8 Ta 0.792 0.750 0.625 1
Ru1 Ru 0.000 0.000 0.500 1
Ru2 Ru 0.000 0.500 0.750 1
Ru3 Ru 0.500 0.000 0.250 1
Ru4 Ru 0.500 0.500 0.000 1
```

total energy: -10.080 eV/atom
symmetry: I-42d (122)
calculated volume: 314.9 Å³/cell

No. 4
Entry from Alexandria: a relaxed K2Bi4Pd3Pt crystal (GGA-PBE).

```
data_K2Bi4Pd3Pt
_symmetry_space_group_name_H-M 'P 1'
_symmetry_Int_Tables_number 1
_cell_length_a 4.940
_cell_length_b 4.940
_cell_length_c 10.979
_cell_angle_alpha 90.00
_cell_angle_beta 90.00
_cell_angle_gamma 90.00
loop_
_symmetry_equiv_pos_as_xyz
'x,y,z'
loop_
_atom_site_label
_atom_site_type_symbol
_atom_site_fract_x
_atom_site_fract_y
_atom_site_fract_z
_atom_site_occupancy
K1 K 0.000 0.500 0.242 1
K2 K 0.500 0.000 0.758 1
Bi1 Bi 0.000 0.000 0.500 1
Bi2 Bi 0.000 0.500 0.882 1
Bi3 Bi 0.500 0.000 0.118 1
Bi4 Bi 0.500 0.500 0.500 1
Pd1 Pd 0.000 0.000 0.000 1
Pd2 Pd 0.000 0.500 0.626 1
Pd3 Pd 0.500 0.000 0.374 1
Pt1 Pt 0.500 0.500 0.000 1
```

total energy: -4.256 eV/atom
symmetry: P-4m2 (115)
calculated volume: 267.9 Å³/cell

No. 5
Entry from Alexandria: a relaxed SrZrAu3 crystal (GGA-PBE).

```
data_SrZrAu3
_symmetry_space_group_name_H-M 'P 1'
_symmetry_Int_Tables_number 1
_cell_length_a 5.390
_cell_length_b 5.390
_cell_length_c 5.390
_cell_angle_alpha 90.00
_cell_angle_beta 90.00
_cell_angle_gamma 90.00
loop_
_symmetry_equiv_pos_as_xyz
'x,y,z'
loop_
_atom_site_label
_atom_site_type_symbol
_atom_site_fract_x
_atom_site_fract_y
_atom_site_fract_z
_atom_site_occupancy
Sr1 Sr 0.000 0.000 0.000 1
Zr1 Zr 0.500 0.500 0.500 1
Au1 Au 0.000 0.000 0.500 1
Au2 Au 0.000 0.500 0.000 1
Au3 Au 0.500 0.000 0.000 1
```

total energy: -3.183 eV/atom
energy above the lowest structure with this stoichiometry: 0.984 eV per atom
symmetry: Pm-3m (221)
calculated volume: 156.6 Å³/cell

No. 6
Entry from Alexandria: a relaxed SiBOs crystal (GGA-PBE).

```
data_SiBOs
_symmetry_space_group_name_H-M 'P 1'
_symmetry_Int_Tables_number 1
_cell_length_a 2.792
_cell_length_b 3.402
_cell_length_c 4.156
_cell_angle_alpha 90.00
_cell_angle_beta 90.00
_cell_angle_gamma 90.00
loop_
_symmetry_equiv_pos_as_xyz
'x,y,z'
loop_
_atom_site_label
_atom_site_type_symbol
_atom_site_fract_x
_atom_site_fract_y
_atom_site_fract_z
_atom_site_occupancy
Si1 Si 0.000 0.000 0.000 1
B1 B 0.000 0.500 0.500 1
Os1 Os 0.500 0.000 0.500 1
```

total energy: -7.377 eV/atom
symmetry: Pmmm (47)
calculated volume: 39.5 Å³/cell

No. 7
Entry from Alexandria: a relaxed Tb2LuCo crystal (GGA-PBE).

```
data_Tb2LuCo
_symmetry_space_group_name_H-M 'P 1'
_symmetry_Int_Tables_number 1
_cell_length_a 3.427
_cell_length_b 3.427
_cell_length_c 8.617
_cell_angle_alpha 90.00
_cell_angle_beta 90.00
_cell_angle_gamma 90.00
loop_
_symmetry_equiv_pos_as_xyz
'x,y,z'
loop_
_atom_site_label
_atom_site_type_symbol
_atom_site_fract_x
_atom_site_fract_y
_atom_site_fract_z
_atom_site_occupancy
Tb1 Tb 0.000 0.000 0.189 1
Tb2 Tb 0.000 0.000 0.811 1
Lu1 Lu 0.500 0.500 0.500 1
Co1 Co 0.500 0.500 0.000 1
```

total energy: -5.239 eV/atom
energy above the lowest structure with this stoichiometry: 0.000 eV per atom
symmetry: P4/mmm (123)
calculated volume: 101.2 Å³/cell

No. 8
Entry from Alexandria: a relaxed RbCaSb2Pb crystal (GGA-PBE).

```
data_RbCaSb2Pb
_symmetry_space_group_name_H-M 'P 1'
_symmetry_Int_Tables_number 1
_cell_length_a 6.100
_cell_length_b 6.100
_cell_length_c 5.636
_cell_angle_alpha 90.00
_cell_angle_beta 90.00
_cell_angle_gamma 90.00
loop_
_symmetry_equiv_pos_as_xyz
'x,y,z'
loop_
_atom_site_label
_atom_site_type_symbol
_atom_site_fract_x
_atom_site_fract_y
_atom_site_fract_z
_atom_site_occupancy
Rb1 Rb 0.000 0.000 0.000 1
Ca1 Ca 0.000 0.000 0.500 1
Sb1 Sb 0.000 0.500 0.000 1
Sb2 Sb 0.500 0.000 0.000 1
Pb1 Pb 0.500 0.500 0.500 1
```

total energy: -2.099 eV/atom
symmetry: P4/mmm (123)
calculated volume: 209.7 Å³/cell